(1)
Here is an optimized crystal structure of TaZn2CoAu from Alexandria via LeMat-Bulk. Energies are from PBE-GGA.

Unit cell a=4.6685 b=4.6685 c=5.1306 alpha=90.00 beta=90.00 gamma=90.00
Atoms (fractional coordinates):
Ta: 0.0000 0.0000 0.0000
Zn: 0.0000 0.5000 0.5000
Zn: 0.5000 0.0000 0.5000
Co: 0.5000 0.5000 0.0000
Au: 0.0000 0.0000 0.5000

Summary:
Total energy (eV per atom): -3.71
Size of the total moment (μB per formula unit): 1.36
E_form (eV per formula unit): 6.24
Fermi-level density of states (states/eV per atom): 1.248

(2)
Here is an optimized crystal structure of Cs2BaCeBr6 from Alexandria via LeMat-Bulk. Energies are from PBE-GGA.

Unit cell a=8.3955 b=12.3152 c=9.1269 alpha=90.00 beta=90.00 gamma=90.00
Atoms (fractional coordinates):
Cs: 0.2500 0.0310 0.1991
Cs: 0.2500 0.4690 0.1991
Cs: 0.7500 0.5310 0.8009
Cs: 0.7500 0.9690 0.8009
Ba: 0.2500 0.2500 0.7204
Ba: 0.7500 0.7500 0.2796
Ce: 0.2500 0.7500 0.7744
Ce: 0.7500 0.2500 0.2256
Br: 0.0064 0.7500 0.0157
Br: 0.0093 0.2500 0.4481
Br: 0.2500 0.5068 0.7817
Br: 0.2500 0.9932 0.7817
Br: 0.4907 0.2500 0.4481
Br: 0.4936 0.7500 0.0157
Br: 0.5064 0.2500 0.9843
Br: 0.5093 0.7500 0.5519
Br: 0.7500 0.0068 0.2183
Br: 0.7500 0.4932 0.2183
Br: 0.9907 0.7500 0.5519
Br: 0.9936 0.2500 0.9843

Summary:
Total energy (eV per atom): -3.75
Size of the total moment (μB per formula unit): 1.82
Formation energy (no corrections) (eV per atom): -1.79
Fermi-level density of states (states/eV per atom): 1.311

(3)
Here is an optimized crystal structure of ZnFe2C from Alexandria via LeMat-Bulk. Energies are from PBE-GGA.

Unit cell a=4.8877 b=4.8877 c=4.8877 alpha=104.05 beta=104.05 gamma=120.96
Atoms (fractional coordinates):
Zn: 0.0000 0.0000 0.0000
Zn: 0.7500 0.2500 0.5000
Fe: 0.2208 0.6250 0.0958
Fe: 0.3750 0.4708 0.5958
Fe: 0.5292 0.1250 0.9042
Fe: 0.8750 0.7792 0.4042
C: 0.2500 0.7500 0.5000
C: 0.5000 0.5000 0.0000

Summary:
Total energy (eV per atom): -6.48
Size of the total moment (μB per formula unit): 2.47
E_form (eV per formula unit): 1.49
Energy above the lowest structure with this stoichiometry (kJ/mol of formula units): 126
Fermi-level density of states (states/eV per atom): 1.035

(4)
Here is an optimized crystal structure of HfSnRh4 from Alexandria via LeMat-Bulk. Energies are from PBE-GGA.

Unit cell a=5.0617 b=5.0617 c=5.8938 alpha=107.63 beta=107.63 gamma=42.85
Atoms (fractional coordinates):
Hf: 0.0000 0.0000 0.0000
Sn: 0.0000 0.0000 0.5000
Rh: 0.3366 0.3366 0.1728
Rh: 0.3425 0.3425 0.6757
Rh: 0.6575 0.6575 0.3243
Rh: 0.6634 0.6634 0.8272

Summary:
Total energy (eV per atom): -7.71
Size of the total moment (μB per formula unit): 0.00
E_form (eV per formula unit): -2.93
Energy above the lowest structure with this stoichiometry (kJ/mol of formula units): 0
Fermi-level density of states (states/eV per atom): 1.143

(5)
Here is an optimized crystal structure of CeNdDy2Bi4 from Alexandria via LeMat-Bulk. Energies are from PBE-GGA.

Unit cell a=7.8564 b=4.5417 c=7.8709 alpha=90.00 beta=109.44 gamma=90.00
Atoms (fractional coordinates):
Ce: 0.0000 0.0000 0.0000
Nd: 0.0000 0.5000 0.5000
Dy: 0.5000 0.0000 0.5000
Dy: 0.5000 0.5000 0.0000
Bi: 0.2573 0.5000 0.2514
Bi: 0.2578 0.0000 0.7540
Bi: 0.7422 0.0000 0.2460
Bi: 0.7427 0.5000 0.7486

Summary:
Total energy (eV per atom): -5.29
Size of the total moment (μB per formula unit): 0.81
E_form (eV per formula unit): -6.91
Fermi-level density of states (states/eV per atom): 0.980

(6)
Here is an optimized crystal structure of PmInAu from Alexandria via LeMat-Bulk. Energies are from PBE-GGA.

Unit cell a=7.8300 b=7.8300 c=4.1437 alpha=90.00 beta=90.00 gamma=120.00
Atoms (fractional coordinates):
Pm: 0.0000 0.5910 0.0000
Pm: 0.4090 0.4090 0.0000
Pm: 0.5910 0.0000 0.0000
In: 0.0000 0.2552 0.5000
In: 0.2552 0.0000 0.5000
In: 0.7448 0.7448 0.5000
Au: 0.0000 0.0000 0.0000
Au: 0.3333 0.6667 0.5000
Au: 0.6667 0.3333 0.5000

Summary:
Total energy (eV per atom): -4.33
Size of the total moment (μB per formula unit): 0.00
E_form (eV per formula unit): -2.22
Energy above the lowest structure with this stoichiometry (kJ/mol of formula units): 0
Fermi-level density of states (states/eV per atom): 0.440

(7)
Here is an optimized crystal structure of SmLuThSc from Alexandria via LeMat-Bulk. Energies are from PBE-GGA.

Unit cell a=5.5391 b=5.5391 c=5.5391 alpha=60.00 beta=60.00 gamma=60.00
Atoms (fractional coordinates):
Sm: 0.0000 0.0000 0.0000
Lu: 0.7500 0.7500 0.7500
Th: 0.5000 0.5000 0.5000
Sc: 0.2500 0.2500 0.2500

Summary:
Total energy (eV per atom): -5.66
Size of the total moment (μB per formula unit): 0.00
E_form (eV per formula unit): 0.36
Fermi-level density of states (states/eV per atom): 1.809

(8)
Here is an optimized crystal structure of In2AgSb2 from Alexandria via LeMat-Bulk. Energies are from PBE-GGA.

Unit cell a=6.8457 b=6.8457 c=6.8457 alpha=136.25 beta=136.25 gamma=63.59
Atoms (fractional coordinates):
In: 0.1171 0.1171 0.0000
In: 0.8829 0.8829 0.0000
Ag: 0.5000 0.5000 0.0000
Sb: 0.2500 0.7500 0.5000
Sb: 0.7500 0.2500 0.5000

Summary:
Total energy (eV per atom): -2.97
Size of the total moment (μB per formula unit): 0.00
Energy above the lowest structure with this stoichiometry (kJ/mol of formula units): 120
Formation energy (no corrections) (eV per atom): 0.35
Fermi-level density of states (states/eV per atom): 0.441